# 1
The following is a DFT calculation (meta-GGA SCAN) of a PBEsol-optimized structure of Li2PPt.

Values from the calculation:
The calculation puts the volume at 12.6 Å³/atom. Its formation energy from the elements is -264 kJ/mol of formula units.

a = 3.574 Å, b = 3.574 Å, c = 3.949 Å
α = 90.00°, β = 90.00°, γ = 90.00°
Atoms (fractional coordinates):
1 Li 0.000 0.500 0.000
2 Li 0.500 0.000 0.000
3 P 0.000 0.000 0.500
4 Pt 0.500 0.500 0.500

# 2
The following is a DFT calculation (meta-GGA SCAN) of a PBEsol-optimized structure of HfNbMoBr2.

Values from the calculation:
The calculation puts the volume at 23.1 Å³/atom. The calculation puts the uncorrected formation energy at 1.25 eV per atom.

a = 4.817 Å, b = 4.817 Å, c = 4.970 Å
α = 90.00°, β = 90.00°, γ = 90.00°
Atoms (fractional coordinates):
1 Hf 0.000 0.000 0.000
2 Nb 0.500 0.500 0.000
3 Mo 0.500 0.500 0.500
4 Br 0.000 0.500 0.500
5 Br 0.500 0.000 0.500

# 3
The following is a DFT calculation (meta-GGA SCAN) of a PBEsol-optimized structure of Zn2AsOsPt.

Values from the calculation:
The calculation puts the volume at 20.3 Å³/atom. Its formation energy from the elements is 455 kJ/mol of formula units.

a = 4.620 Å, b = 4.620 Å, c = 4.765 Å
α = 90.00°, β = 90.00°, γ = 90.00°
Atoms (fractional coordinates):
1 Zn 0.000 0.500 0.000
2 Zn 0.500 0.000 0.000
3 As 0.000 0.000 0.500
4 Os 0.500 0.500 0.500
5 Pt 0.500 0.500 0.000

# 4
The following is a DFT calculation (meta-GGA SCAN) of a PBEsol-optimized structure of TlMo3N.

Values from the calculation:
The calculation puts the volume at 14.3 Å³/atom. The calculation puts the uncorrected formation energy at 0.14 eV per atom.

a = 4.149 Å, b = 4.149 Å, c = 4.149 Å
α = 90.00°, β = 90.00°, γ = 90.00°
Atoms (fractional coordinates):
1 Tl 0.000 0.000 0.000
2 Mo 0.000 0.500 0.500
3 Mo 0.500 0.000 0.500
4 Mo 0.500 0.500 0.000
5 N 0.500 0.500 0.500

# 5
The following is a DFT calculation (meta-GGA SCAN) of a PBEsol-optimized structure of Rb2MgBeAs.

Values from the calculation:
The calculation puts the volume at 34.8 Å³/atom. Its formation energy from the elements is 289 kJ/mol of formula units.

a = 5.924 Å, b = 5.924 Å, c = 4.954 Å
α = 90.00°, β = 90.00°, γ = 90.00°
Atoms (fractional coordinates):
1 Rb 0.000 0.500 0.000
2 Rb 0.500 0.000 0.000
3 Mg 0.000 0.000 0.500
4 Be 0.000 0.000 0.000
5 As 0.500 0.500 0.500

# 6
The following is a DFT calculation (meta-GGA SCAN) of a PBEsol-optimized structure of LiZr2FePt.

Values from the calculation:
The calculation puts the volume at 21.9 Å³/atom. Its formation energy from the elements is 151 kJ/mol of formula units.

a = 5.022 Å, b = 5.022 Å, c = 4.334 Å
α = 90.00°, β = 90.00°, γ = 90.00°
Atoms (fractional coordinates):
1 Li 0.000 0.000 0.000
2 Zr 0.000 0.500 0.500
3 Zr 0.500 0.000 0.500
4 Fe 0.500 0.500 0.000
5 Pt 0.000 0.000 0.500

# 7
The following is a DFT calculation (meta-GGA SCAN) of a PBEsol-optimized structure of Mg14MnCrO16.

Values from the calculation:
The calculation puts the volume at 9.5 Å³/atom. The calculation puts the uncorrected formation energy at -2.85 eV per atom.

a = 4.247 Å, b = 8.461 Å, c = 8.477 Å
α = 90.00°, β = 90.00°, γ = 90.00°
Atoms (fractional coordinates):
1 Mg 0.000 0.000 0.000
2 Mg 0.000 0.250 0.249
3 Mg 0.000 0.250 0.751
4 Mg 0.000 0.500 0.000
5 Mg 0.000 0.750 0.249
6 Mg 0.000 0.750 0.751
7 Mg 0.500 0.000 0.249
8 Mg 0.500 0.000 0.751
9 Mg 0.500 0.250 0.000
10 Mg 0.500 0.250 0.500
11 Mg 0.500 0.500 0.250
12 Mg 0.500 0.500 0.750
13 Mg 0.500 0.750 0.000
14 Mg 0.500 0.750 0.500
15 Mn 0.000 0.000 0.500
16 Cr 0.000 0.500 0.500
17 O 0.000 0.000 0.244
18 O 0.000 0.000 0.756
19 O 0.000 0.251 0.000
20 O 0.000 0.257 0.500
21 O 0.000 0.500 0.247
22 O 0.000 0.500 0.753
23 O 0.000 0.743 0.500
24 O 0.000 0.749 0.000
25 O 0.500 0.000 0.000
26 O 0.500 0.000 0.500
27 O 0.500 0.250 0.251
28 O 0.500 0.250 0.749
29 O 0.500 0.500 0.000
30 O 0.500 0.500 0.500
31 O 0.500 0.750 0.251
32 O 0.500 0.750 0.749

# 8
The following is a DFT calculation (meta-GGA SCAN) of a PBEsol-optimized structure of TaSi2Se.

Values from the calculation:
The calculation puts the volume at 16.2 Å³/atom. The calculation puts the uncorrected formation energy at 0.40 eV per atom.

a = 2.914 Å, b = 2.914 Å, c = 7.833 Å
α = 90.00°, β = 90.00°, γ = 102.61°
Atoms (fractional coordinates):
1 Ta 0.000 0.000 0.000
2 Si 0.500 0.500 0.238
3 Si 0.500 0.500 0.762
4 Se 0.000 0.000 0.500

# 9
The following is a DFT calculation (meta-GGA SCAN) of a PBEsol-optimized structure of AgSb2.

Values from the calculation:
The calculation puts the volume at 23.6 Å³/atom. The calculation puts the uncorrected formation energy at 0.24 eV per atom.

a = 3.224 Å, b = 3.224 Å, c = 7.878 Å
α = 90.00°, β = 90.00°, γ = 120.00°
Atoms (fractional coordinates):
1 Ag 0.000 0.000 0.000
2 Sb 0.333 0.667 0.295
3 Sb 0.667 0.333 0.705

# 10
The following is a DFT calculation (meta-GGA SCAN) of a PBEsol-optimized structure of SrZr4Re.

Values from the calculation:
The calculation puts the volume at 22.0 Å³/atom. Its formation energy from the elements is 500 kJ/mol of formula units.

a = 5.712 Å, b = 5.712 Å, c = 5.712 Å
α = 60.00°, β = 60.00°, γ = 60.00°
Atoms (fractional coordinates):
1 Sr 0.000 0.000 0.000
2 Zr 0.132 0.623 0.623
3 Zr 0.623 0.132 0.623
4 Zr 0.623 0.623 0.132
5 Zr 0.623 0.623 0.623
6 Re 0.250 0.250 0.250